Density functional theory data (PBE with a Hubbard U) for an optimized crystal structure of NiAg3F.

Cell lengths 4.805, 4.805, 4.805 Å; angles 90.00, 90.00, 90.00 degrees
Positions (direct):
Ag (0.500, 0.000, 0.000)
Ag (0.000, 0.000, 0.500)
Ag (0.000, 0.500, 0.000)
Ni (0.000, 0.000, 0.000)
F (0.500, 0.500, 0.500)

calculated volume: 22.2 Å³/atom
energy above the most stable polymorph in this dataset: 115.7 meV per atom
total magnetic moment: 0.9 μB per formula unit
SG: No. 221